Computed, not measured: Pu2Mn2ZnRh5 after structural relaxation at the GGA-PBE level of DFT. Values from VASP.

Cell and atoms, written as Quantum ESPRESSO input:
```
&SYSTEM
  ibrav = 0, nat = 20, ntyp = 4
/
ATOMIC_SPECIES
Pu 244.00 Pu.upf
Mn 54.94 Mn.upf
Zn 65.41 Zn.upf
Rh 102.91 Rh.upf
CELL_PARAMETERS angstrom
9.158 0.000 0.000
0.000 9.158 0.000
0.000 0.000 3.861
ATOMIC_POSITIONS crystal
Pu 0.176 0.324 0.000
Pu 0.324 0.824 0.000
Pu 0.676 0.176 0.000
Pu 0.824 0.676 0.000
Mn 0.129 0.629 0.000
Mn 0.371 0.129 0.000
Mn 0.629 0.871 0.000
Mn 0.871 0.371 0.000
Zn 0.000 0.000 0.000
Zn 0.500 0.500 0.000
Rh 0.000 0.500 0.500
Rh 0.067 0.800 0.500
Rh 0.200 0.067 0.500
Rh 0.300 0.567 0.500
Rh 0.433 0.300 0.500
Rh 0.500 0.000 0.500
Rh 0.567 0.700 0.500
Rh 0.700 0.433 0.500
Rh 0.800 0.933 0.500
Rh 0.933 0.200 0.500
```

Summary:
As for the symmetry: P4/mbm. As for the energy of formation: -0.294 eV per atom. Its density of states at the Fermi level is 39.55 states/eV per cell.